No. 1
# PBE-GGA Dy3Sn3Ru, relaxed
# - DFT total energy (eV per atom) = -5.65
# - Fermi-level density of states (states/eV/atom) = 0.7822
# - calculated formation energy (eV/atom) = -0.6413
data_Dy3Sn3Ru
_cell_length_a 11.145
_cell_length_b 4.434
_cell_length_c 15.056
_cell_angle_alpha 90.00
_cell_angle_beta 108.64
_cell_angle_gamma 90.00
_symmetry_space_group_name_H-M 'C 1 2/m 1'
_symmetry_Int_Tables_number 12
_symmetry_space_group_name_Hall '-C 2y'
loop_
_atom_site_label
_atom_site_fract_x
_atom_site_fract_y
_atom_site_fract_z
Dy1 0.018 0.000 0.381
Dy2 0.101 0.000 0.923
Dy3 0.234 0.000 0.243
Sn1 0.018 0.500 0.233
Sn2 0.125 0.500 0.077
Sn3 0.149 0.500 0.534
Ru1 0.240 0.500 0.381

No. 2
# PBE-GGA Dy3SnRu, relaxed
# - DFT total energy (eV per atom) = -5.72
# - Fermi-level density of states (states/eV/atom) = 0.6983
# - calculated formation energy (eV/atom) = -0.2992
data_Dy3SnRu
_cell_length_a 5.902
_cell_length_b 10.647
_cell_length_c 8.134
_cell_angle_alpha 90.00
_cell_angle_beta 90.00
_cell_angle_gamma 90.00
_symmetry_space_group_name_H-M 'P n m a'
_symmetry_Int_Tables_number 62
_symmetry_space_group_name_Hall '-P 2ac 2n'
loop_
_atom_site_label
_atom_site_fract_x
_atom_site_fract_y
_atom_site_fract_z
Dy1 0.001 0.103 0.138
Dy2 0.237 0.750 0.276
Sn1 0.000 0.000 0.500
Ru1 0.057 0.750 0.592

No. 3
# PBE-GGA Dy2SnRu, relaxed
# - DFT total energy (eV per atom) = -6.03
# - E above lowest polymorph (meV per atom) = 140
# - Fermi-level density of states (states/eV/atom) = 0.6433
# - calculated formation energy (eV/atom) = -0.4128
data_Dy2SnRu
_cell_length_a 7.171
_cell_length_b 7.171
_cell_length_c 7.171
_cell_angle_alpha 90.00
_cell_angle_beta 90.00
_cell_angle_gamma 90.00
_symmetry_space_group_name_H-M 'F m -3 m'
_symmetry_Int_Tables_number 225
_symmetry_space_group_name_Hall '-F 4 2 3'
loop_
_atom_site_label
_atom_site_fract_x
_atom_site_fract_y
_atom_site_fract_z
Dy1 0.250 0.250 0.250
Sn1 0.000 0.000 0.000
Ru1 0.000 0.000 0.500

No. 4
# PBE-GGA Dy2SnRu, relaxed
# - DFT total energy (eV per atom) = -6.06
# - E above lowest polymorph (meV per atom) = 118
# - Fermi-level density of states (states/eV/atom) = 0.5091
# - calculated formation energy (eV/atom) = -0.4345
data_Dy2SnRu
_cell_length_a 4.867
_cell_length_b 4.867
_cell_length_c 3.852
_cell_angle_alpha 90.00
_cell_angle_beta 90.00
_cell_angle_gamma 90.00
_symmetry_space_group_name_H-M 'P 4/m m m'
_symmetry_Int_Tables_number 123
_symmetry_space_group_name_Hall '-P 4 2'
loop_
_atom_site_label
_atom_site_fract_x
_atom_site_fract_y
_atom_site_fract_z
Dy1 0.000 0.500 0.000
Sn1 0.000 0.000 0.500
Ru1 0.500 0.500 0.500

No. 5
# PBE-GGA DySnRu2, relaxed
# - DFT total energy (eV per atom) = -7.07
# - Fermi-level density of states (states/eV/atom) = 0.9101
# - calculated formation energy (eV/atom) = -0.2857
data_DySnRu2
_cell_length_a 3.335
_cell_length_b 3.335
_cell_length_c 6.559
_cell_angle_alpha 90.00
_cell_angle_beta 90.00
_cell_angle_gamma 90.00
_symmetry_space_group_name_H-M 'P 4/m m m'
_symmetry_Int_Tables_number 123
_symmetry_space_group_name_Hall '-P 4 2'
loop_
_atom_site_label
_atom_site_fract_x
_atom_site_fract_y
_atom_site_fract_z
Dy1 0.000 0.000 0.000
Sn1 0.000 0.000 0.500
Ru1 0.500 0.500 0.271

No. 6
# PBE-GGA Dy6Sn3Ru, relaxed
# - DFT total energy (eV per atom) = -5.37
# - Fermi-level density of states (states/eV/atom) = 0.9743
# - calculated formation energy (eV/atom) = -0.4800
data_Dy6Sn3Ru
_cell_length_a 6.086
_cell_length_b 8.676
_cell_length_c 12.110
_cell_angle_alpha 90.00
_cell_angle_beta 117.91
_cell_angle_gamma 90.00
_symmetry_space_group_name_H-M 'P 1 21/c 1'
_symmetry_Int_Tables_number 14
_symmetry_space_group_name_Hall '-P 2ybc'
loop_
_atom_site_label
_atom_site_fract_x
_atom_site_fract_y
_atom_site_fract_z
Dy1 0.058 0.157 0.441
Dy2 0.341 0.698 0.438
Dy3 0.399 0.049 0.266
Sn1 0.000 0.000 0.000
Sn2 0.159 0.113 0.763
Ru1 0.500 0.000 0.500

No. 7
# PBE-GGA Dy2SnRu, relaxed
# - DFT total energy (eV per atom) = -5.94
# - E above lowest polymorph (meV per atom) = 235
# - Fermi-level density of states (states/eV/atom) = 0.8561
# - calculated formation energy (eV/atom) = -0.3172
data_Dy2SnRu
_cell_length_a 3.5479
_cell_length_b 3.5479
_cell_length_c 27.1156
_cell_angle_alpha 90.00
_cell_angle_beta 90.00
_cell_angle_gamma 120.00
_symmetry_space_group_name_H-M 'R -3 m'
_symmetry_Int_Tables_number 166
_symmetry_space_group_name_Hall '-R 3 2"'
loop_
_atom_site_label
_atom_site_fract_x
_atom_site_fract_y
_atom_site_fract_z
Dy1 0.0000 0.0000 0.2372
Sn1 0.0000 0.0000 0.0000
Ru1 0.0000 0.0000 0.5000

No. 8
# PBE-GGA DySnRu2, relaxed
# - DFT total energy (eV per atom) = -7.14
# - Fermi-level density of states (states/eV/atom) = 1.3283
# - calculated formation energy (eV/atom) = -0.3552
data_DySnRu2
_cell_length_a 6.603
_cell_length_b 6.603
_cell_length_c 6.603
_cell_angle_alpha 90.00
_cell_angle_beta 90.00
_cell_angle_gamma 90.00
_symmetry_space_group_name_H-M 'F m -3 m'
_symmetry_Int_Tables_number 225
_symmetry_space_group_name_Hall '-F 4 2 3'
loop_
_atom_site_label
_atom_site_fract_x
_atom_site_fract_y
_atom_site_fract_z
Dy1 0.000 0.000 0.000
Sn1 0.000 0.000 0.500
Ru1 0.250 0.250 0.250

No. 9
# PBE-GGA Dy3Sn2Ru2, relaxed
# - DFT total energy (eV per atom) = -6.35
# - Fermi-level density of states (states/eV/atom) = 0.6040
# - calculated formation energy (eV/atom) = -0.5869
data_Dy3Sn2Ru2
_cell_length_a 5.824
_cell_length_b 7.967
_cell_length_c 13.954
_cell_angle_alpha 90.00
_cell_angle_beta 90.00
_cell_angle_gamma 90.00
_symmetry_space_group_name_H-M 'P b c m'
_symmetry_Int_Tables_number 57
_symmetry_space_group_name_Hall '-P 2c 2b'
loop_
_atom_site_label
_atom_site_fract_x
_atom_site_fract_y
_atom_site_fract_z
Dy1 0.110 0.235 0.250
Dy2 0.329 0.602 0.091
Sn1 0.168 0.250 0.000
Sn2 0.397 0.605 0.750
Ru1 0.135 0.547 0.594

No. 10
# PBE-GGA Dy6SnRu, relaxed
# - DFT total energy (eV per atom) = -5.21
# - Fermi-level density of states (states/eV/atom) = 1.0668
# - calculated formation energy (eV/atom) = -0.1032
data_Dy6SnRu
_cell_length_a 6.8109
_cell_length_b 6.8109
_cell_length_c 19.5226
_cell_angle_alpha 90.00
_cell_angle_beta 90.00
_cell_angle_gamma 120.00
_symmetry_space_group_name_H-M 'R -3'
_symmetry_Int_Tables_number 148
_symmetry_space_group_name_Hall '-R 3'
loop_
_atom_site_label
_atom_site_fract_x
_atom_site_fract_y
_atom_site_fract_z
Dy1 0.0031 0.3728 0.4138
Sn1 0.0000 0.0000 0.5000
Ru1 0.0000 0.0000 0.0000

No. 11
# PBE-GGA Dy2SnRu, relaxed
# - DFT total energy (eV per atom) = -6.17
# - E above lowest polymorph (meV per atom) = 0
# - Fermi-level density of states (states/eV/atom) = 0.3050
# - calculated formation energy (eV/atom) = -0.5524
data_Dy2SnRu
_cell_length_a 3.392
_cell_length_b 3.392
_cell_length_c 8.155
_cell_angle_alpha 90.00
_cell_angle_beta 90.00
_cell_angle_gamma 90.00
_symmetry_space_group_name_H-M 'P 4/m m m'
_symmetry_Int_Tables_number 123
_symmetry_space_group_name_Hall '-P 4 2'
loop_
_atom_site_label
_atom_site_fract_x
_atom_site_fract_y
_atom_site_fract_z
Dy1 0.000 0.000 0.206
Sn1 0.500 0.500 0.500
Ru1 0.500 0.500 0.000

No. 12
# PBE-GGA Dy4Sn8Ru, relaxed
# - DFT total energy (eV per atom) = -5.11
# - Fermi-level density of states (states/eV/atom) = 0.5985
# - calculated formation energy (eV/atom) = -0.5161
data_Dy4Sn8Ru
_cell_length_a 4.428
_cell_length_b 4.480
_cell_length_c 16.713
_cell_angle_alpha 90.00
_cell_angle_beta 90.00
_cell_angle_gamma 90.00
_symmetry_space_group_name_H-M 'P m m 2'
_symmetry_Int_Tables_number 25
_symmetry_space_group_name_Hall 'P 2 -2'
loop_
_atom_site_label
_atom_site_fract_x
_atom_site_fract_y
_atom_site_fract_z
Dy1 0.000 0.000 0.000
Dy2 0.000 0.500 0.484
Dy3 0.500 0.000 0.784
Dy4 0.500 0.500 0.293
Sn1 0.000 0.000 0.324
Sn2 0.000 0.000 0.621
Sn3 0.000 0.500 0.146
Sn4 0.000 0.500 0.856
Sn5 0.500 0.000 0.148
Sn6 0.500 0.000 0.450
Sn7 0.500 0.500 0.620
Sn8 0.500 0.500 0.974
Ru1 0.000 0.500 0.702